Li2PaF8 PBE optimized geometry; formation energy without anion corrections = -3.102 eV per atom; SG = No. 2
1.0
-7.490 -0.892 -4.585
-3.371 -6.340 -1.798
-7.440 1.907 3.286
Li Pa F
4 2 16
Cartesian
-5.120 -0.622 -3.122
-7.775 -2.487 -0.719
-10.526 -2.839 -2.378
-13.181 -4.703 0.026
-11.879 -5.171 -5.111
-6.422 -0.154 2.015
-9.087 -3.660 -1.441
-5.450 -5.861 -1.518
-10.286 -6.457 -4.456
-5.354 0.022 0.260
-8.016 1.132 1.360
-7.541 -3.130 -4.101
-12.947 -5.347 -3.356
-7.484 -1.737 1.023
-10.760 -2.196 1.005
-14.619 -3.883 -0.912
-12.320 -2.333 -1.915
-5.981 -2.993 -1.182
-3.682 -1.443 -2.184
-10.817 -3.589 -4.119
-9.214 -1.666 -1.656
-12.851 0.536 -1.578


RbLiPaF6 PBE optimized geometry; formation energy without anion corrections = -3.418 eV per atom; SG = No. 163
1.0
5.759 0.000 0.000
-2.879 4.987 0.000
0.000 0.000 12.196
Rb Li Pa F
2 2 2 12
Cartesian
0.000 0.000 0.000
0.000 0.000 6.098
0.000 3.325 3.049
2.879 1.662 9.147
2.879 1.662 3.049
0.000 3.325 9.147
1.756 3.158 1.873
-1.023 1.888 1.873
2.146 0.058 7.971
3.902 3.099 10.323
1.023 1.888 4.225
-1.756 3.158 4.225
3.612 0.058 10.323
0.733 4.929 4.225
4.635 1.830 7.971
-0.733 4.929 1.873
1.857 3.099 7.971
1.124 1.830 10.323


RbLi2PaF8 PBE optimized geometry; formation energy without anion corrections = -3.205 eV per atom; SG = No. 155
1.0
5.186 0.000 0.000
2.593 4.492 0.000
2.593 1.497 7.943
Rb Li Pa F
1 2 1 8
Cartesian
0.000 0.000 0.000
7.780 4.492 6.463
2.593 1.497 1.480
5.186 2.994 3.971
5.186 2.994 0.263
5.186 2.994 7.680
6.169 4.368 5.264
3.505 2.830 2.679
6.169 1.620 2.679
5.885 1.456 5.264
3.505 3.158 5.264
5.885 4.533 2.679


Number 1: magnetization 0.091 μB per atom. Number 2: magnetization 0.111 μB per atom. Number 3: magnetization 0.005 μB per atom.